(1)
PrRh2: relaxed, GGA-PBEsol.

**Energy of formation**: -59.0 kJ/mol of atoms
**Crystal system**: cubic
**Space group**: Fd-3m (227)

Cell: 5.347 5.347 5.347 Å, 60.00 60.00 60.00°
Atoms (fractional coordinates):
Pr 0.250 0.250 0.250
Pr 0.000 0.000 0.000
Rh 0.625 0.125 0.625
Rh 0.625 0.625 0.125
Rh 0.125 0.625 0.625
Rh 0.625 0.625 0.625

(2)
Sr2CrSi: relaxed, GGA-PBEsol.

**Crystal system**: tetragonal
**Space group**: P4/mmm (123)
**E_form (uncorrected)**: 0.345 eV/atom

Cell: 4.227 5.045 5.045 Å, 90.00 90.00 90.00°
Atoms (fractional coordinates):
Cr 0.500 0.500 0.500
Si 0.500 0.000 0.000
Sr 0.000 0.000 0.500
Sr 0.000 0.500 0.000

(3)
Li7Co5O12: relaxed, GGA-PBEsol.

**Excess energy over the best structure of this formula in the dataset**: 0.0 meV/atom
**Crystal system**: monoclinic
**Space group**: P2/m (10)
**E_form (uncorrected)**: -1.538 eV/atom

Cell: 2.806 5.655 12.239 Å, 103.02 90.00 90.00°
Atoms (fractional coordinates):
Li 0.000 0.317 0.653
Li 0.500 0.169 0.832
Li 0.000 0.000 0.000
Li 0.500 0.831 0.168
Li 0.000 0.683 0.347
Li 0.500 0.500 0.500
Li 0.500 0.000 0.500
Co 0.000 0.162 0.337
Co 0.000 0.838 0.663
Co 0.500 0.668 0.833
Co 0.000 0.500 0.000
Co 0.500 0.332 0.167
O 0.000 0.890 0.826
O 0.500 0.724 0.993
O 0.000 0.553 0.159
O 0.500 0.386 0.324
O 0.000 0.246 0.487
O 0.500 0.060 0.669
O 0.000 0.754 0.513
O 0.500 0.614 0.676
O 0.000 0.447 0.841
O 0.500 0.276 0.007
O 0.000 0.110 0.174
O 0.500 0.940 0.331

(4)
Sb4PtAu: relaxed, GGA-PBEsol.

**Crystal system**: cubic
**Space group**: F-43m (216)
**E_form (uncorrected)**: 0.771 eV/atom

Cell: 5.931 5.931 5.931 Å, 60.00 60.00 60.00°
Atoms (fractional coordinates):
Au 0.750 0.750 0.750
Pt 0.000 0.000 0.000
Sb 0.376 0.376 0.376
Sb 0.376 0.376 0.873
Sb 0.873 0.376 0.376
Sb 0.376 0.873 0.376

(5)
Ni2RuBr: relaxed, GGA-PBEsol.

**Excess energy over the best structure of this formula in the dataset**: 0.0 meV/atom
**Crystal system**: trigonal
**Space group**: R-3m (166)
**E_form (uncorrected)**: 0.543 eV/atom

Cell: 2.819 2.819 8.019 Å, 79.88 79.88 60.00°
Atoms (fractional coordinates):
Br 0.000 0.000 0.000
Ni 0.248 0.248 0.255
Ni 0.752 0.752 0.745
Ru 0.500 0.500 0.500

(6)
NaZrN3: relaxed, GGA-PBEsol.

**Crystal system**: cubic
**Space group**: Pm-3m (221)
**E_form (uncorrected)**: 1.533 eV/atom

Cell: 3.837 3.837 3.837 Å, 90.00 90.00 90.00°
Atoms (fractional coordinates):
Na 0.000 0.000 0.000
Zr 0.500 0.500 0.500
N 0.000 0.500 0.000
N 0.000 0.000 0.500
N 0.500 0.000 0.000

V for the records above, in order: 18.0 26.9 7.9 24.6 13.5 11.3 A^3/atom
Density of states at the Fermi level for the records above, in order: 1.4 2.5 13.7 2.8 4.8 4.4 states/eV/f.u.